[1]
Material: La6Sb5P
Method: DFT, GGA-PBE
State: optimized geometry

Structure (POSCAR):
```
La6Sb5P
1.0
-6.1010 -1.0009 -4.9396
0.4237 -7.1886 -3.3084
-3.5221 -6.1778 3.4812
La Sb P
6 5 1
Direct
0.7584 0.0804 0.3200
0.2416 0.5996 0.3200
0.2441 0.2381 0.0000
0.7559 0.7619 0.0000
0.7584 0.4004 0.6800
0.2416 0.9196 0.6800
0.5000 0.1711 0.6578
0.0000 0.3341 0.3319
0.5000 0.5000 0.0000
0.0000 0.6659 0.6681
0.5000 0.8289 0.3422
0.0000 0.0000 0.0000
```

Output
Total magnetic moment = 0.0 μB/cell
ΔE_f (raw) = -1.306 eV/atom
SG = C2/m (12)

[2]
Material: SrY2Co
Method: DFT, GGA-PBE
State: optimized geometry

Structure (POSCAR):
```
SrY2Co
1.0
-1.7100 -2.7238 -3.2850
4.6253 -0.1715 -2.2655
1.1063 -3.7620 2.5435
Co Sr Y
1 1 2
Direct
0.5000 0.0000 0.5000
0.0000 0.5000 0.5000
0.0000 0.0000 0.0000
0.5000 0.5000 0.0000
```

Output
E_form = 2.04 eV/f.u.
Total magnetic moment = 0.6 μB/cell
Offset from the most stable computed form = 513 meV/atom
SG = Pmmm (47)